[1]
An optimized crystal structure of TlSiAg, computed with PBE.

Cell: 6.5496 6.6823 3.8434 Å, 73.15 106.87 72.74°
Closest atoms and distances in Å follow each position.
Sites, in units of the cell vectors:
Tl 0.2055 0.1868 0.5742  4 Ag 2.96-3.03, 3 Si 3.24-3.26
Si 0.7723 0.9101 0.9931  2 Si 2.37-2.38, 1 Ag 2.54
Ag 0.2062 0.8208 0.2561  2 Si 2.50-2.54
Tl 0.6076 0.3814 0.1771  3 Ag 3.13-3.47, 4 Si 3.35-3.39, 1 Tl 3.42
Ag 0.0597 0.5738 0.8074  3 Si 2.62-2.90, 2 Ag 2.87
Si 0.6058 0.8181 0.4565  2 Si 2.37-2.38, 2 Ag 2.50-2.62

Output
* E_form (uncorrected): 0.222 eV/atom
* space group: P1
* calculated volume: 70.1 Å³/f.u.

[2]
An optimized crystal structure of Pm2Nd2Th15, computed with PBE.

Cell: 8.7875 8.7875 8.7875 Å, 82.18 82.18 82.18°
Closest atoms and distances in Å follow each position.
Sites, in units of the cell vectors:
Nd 0.3508 0.3508 0.3508  12 Th 4.01-4.13, 1 Pm 4.26
Th 0.0000 0.3085 0.6915  8 Th 3.38-3.58
Th 0.6572 0.1775 0.6572  8 Th 3.20-3.58
Th 0.5000 0.0000 0.0000  8 Th 3.38-3.40, 2 Pm 3.51
Th 0.0000 0.6915 0.3085  8 Th 3.38-3.58
Th 0.6572 0.6572 0.1775  8 Th 3.20-3.58
Th 0.3085 0.0000 0.6915  8 Th 3.38-3.58
Th 0.3428 0.8225 0.3428  8 Th 3.20-3.58
Pm 0.8972 0.8972 0.8972  6 Th 3.51-3.65, 1 Pm 3.53
Nd 0.6492 0.6492 0.6492  12 Th 4.01-4.13, 1 Pm 4.26
Th 0.6915 0.3085 0.0000  8 Th 3.38-3.58
Th 0.3428 0.3428 0.8225  8 Th 3.20-3.58
Th 0.1775 0.6572 0.6572  8 Th 3.20-3.58
Th 0.3085 0.6915 0.0000  8 Th 3.38-3.58
Th 0.0000 0.0000 0.5000  8 Th 3.38-3.40, 2 Pm 3.51
Th 0.0000 0.5000 0.0000  8 Th 3.38-3.40, 2 Pm 3.51
Th 0.8225 0.3428 0.3428  8 Th 3.20-3.58
Th 0.6915 0.0000 0.3085  8 Th 3.38-3.58
Pm 0.1028 0.1028 0.1028  6 Th 3.51-3.65, 1 Pm 3.53

Output
* space group: R-3m
* calculated volume: 661.2 Å³/f.u.
* formation energy from the elements: 0.272 eV per atom

[3]
An optimized crystal structure of Sc7Te2Pt2, computed with PBE.

Cell: 3.7671 8.7789 8.7789 Å, 61.95 77.61 77.61°
Closest atoms and distances in Å follow each position.
Sites, in units of the cell vectors:
Sc 0.6298 0.4789 0.2614  2 Pt 2.72, 3 Te 2.93-3.01
Sc 0.1437 0.1130 0.5995  2 Pt 2.76, 2 Te 2.97
Sc 0.8154 0.0795 0.2897  3 Pt 2.70-2.97, 1 Te 2.94
Sc 0.5000 0.0253 0.9747  3 Te 3.02-3.04
Sc 0.8563 0.4005 0.8870  2 Pt 2.76, 2 Te 2.97
Sc 0.1846 0.7103 0.9205  3 Pt 2.70-2.97, 1 Te 2.94
Te 0.5000 0.3613 0.6387  7 Sc 2.93-3.04
Sc 0.3702 0.7386 0.5211  2 Pt 2.72, 3 Te 2.93-3.01
Pt 0.7361 0.8554 0.6723  7 Sc 2.70-2.97
Pt 0.2639 0.3277 0.1446  7 Sc 2.70-2.97
Te 0.0000 0.7635 0.2365  8 Sc 2.94-3.02

Output
* E_form (uncorrected): -0.973 eV/atom
* space group: Imm2
* calculated volume: 248.1 Å³/f.u.

[4]
An optimized crystal structure of Sm3ScZn2, computed with PBE.

Cell: 3.6286 3.6286 11.7961 Å, 90.00 90.00 90.00°
Closest atoms and distances in Å follow each position.
Sites, in units of the cell vectors:
Sm 0.0000 0.0000 0.6940  4 Zn 3.12, 4 Sc 3.44
Zn 0.5000 0.5000 0.8446  8 Sm 3.12-3.15
Zn 0.5000 0.5000 0.1554  8 Sm 3.12-3.15
Sm 0.0000 0.0000 0.0000  8 Zn 3.15
Sm 0.0000 0.0000 0.3060  4 Zn 3.12, 4 Sc 3.44
Sc 0.5000 0.5000 0.5000  8 Sm 3.44, 4 Sc 3.63

Output
* space group: P4/mmm
* calculated volume: 155.3 Å³/f.u.
* formation energy from the elements: -0.185 eV per atom